[1]
Material: Dy5Al2Ge4
Method: DFT, GGA-PBE
State: optimized geometry

## Properties
Formation energy from the elements (eV per atom): -0.44
Fermi-level density of states (states/eV/f.u.): 7.701

abc: 18.9623 4.1562 7.2704
angles: 90.00 106.69 90.00
With the nearest neighbours (Å) after each atom.
Space group C2/m (No. 12)
Inequivalent atoms, fractional coordinates:
Dy1 0.0000 0.0000 0.0000 [2 per cell]  4 Ge 2.98
Dy2 0.1563 0.5000 0.4219 [4 per cell]  4 Ge 2.92-3.00, 2 Al 3.22
Dy3 0.1632 0.5000 0.9383 [4 per cell]  4 Ge 2.92-2.97, 2 Al 3.17
Al1 0.0738 0.0000 0.6283 [4 per cell]  3 Ge 2.53-2.58
Ge1 0.0086 0.5000 0.7131 [4 per cell]  2 Al 2.58
Ge2 0.2127 0.0000 0.7118 [4 per cell]  1 Al 2.53

---

[2]
Material: Dy4Al5Ge6
Method: DFT, GGA-PBE
State: optimized geometry

## Properties
Formation energy from the elements (eV per atom): -0.46
Fermi-level density of states (states/eV/f.u.): 5.401

abc: 4.1360 19.9444 15.1894
angles: 90.00 90.00 90.00
With the nearest neighbours (Å) after each atom.
Space group Cmc2_1 (No. 36)
Inequivalent atoms, fractional coordinates:
Dy1 0.0000 0.0133 0.0000 [4 per cell]  7 Ge 3.02-3.08, 3 Al 3.35-3.36
Dy2 0.0000 0.0340 0.2750 [4 per cell]  6 Ge 3.06-3.10, 5 Al 3.06-3.21
Dy3 0.0000 0.1678 0.8151 [4 per cell]  6 Ge 2.99-3.18
Dy4 0.0000 0.1817 0.4514 [4 per cell]  6 Ge 2.96-3.01, 2 Al 3.31
Al1 0.0000 0.1472 0.1336 [4 per cell]  4 Ge 2.48-2.63
Al2 0.0000 0.3080 0.1273 [4 per cell]  4 Ge 2.59-2.68, 1 Al 2.79
Al3 0.0000 0.3429 0.7845 [4 per cell]  3 Ge 2.53-2.55
Al4 0.0000 0.3546 0.4861 [4 per cell]  4 Ge 2.52-2.74
Al5 0.0000 0.4368 0.1987 [4 per cell]  4 Ge 2.50-2.75, 1 Al 2.79
Ge1 0.0000 0.1063 0.6216 [4 per cell]  4 Al 2.53-2.68
Ge2 0.0000 0.2190 0.9999 [4 per cell]  4 Al 2.48-2.63
Ge3 0.0000 0.2301 0.2637 [4 per cell]  4 Al 2.55-2.59
Ge4 0.0000 0.4213 0.9151 [4 per cell]  1 Al 2.53
Ge5 0.0000 0.4347 0.6325 [4 per cell]  5 Al 2.63-2.95
Ge6 0.0000 0.4397 0.3633 [4 per cell]  2 Al 2.50-2.52

---

[3]
Material: Dy2Al2Ge3
Method: DFT, GGA-PBE
State: optimized geometry

## Properties
Formation energy from the elements (eV per atom): -0.55
Fermi-level density of states (states/eV/f.u.): 3.353

abc: 15.1374 4.1787 11.7624
angles: 90.00 126.58 90.00
With the nearest neighbours (Å) after each atom.
Space group C2/m (No. 12)
Inequivalent atoms, fractional coordinates:
Dy1 0.0959 0.0000 0.4426 [4 per cell]  7 Ge 2.96-3.24, 3 Al 3.21-3.27
Dy2 0.2323 0.0000 0.8366 [4 per cell]  6 Ge 2.93-3.05
Al1 0.0512 0.5000 0.8103 [4 per cell]  4 Ge 2.55-2.67
Al2 0.0966 0.0000 0.1655 [4 per cell]  4 Ge 2.55-2.60
Ge1 0.0932 0.5000 0.6237 [4 per cell]  1 Ge 2.58, 1 Al 2.62
Ge2 0.1147 0.0000 0.9637 [4 per cell]  4 Al 2.55-2.60
Ge3 0.1658 0.5000 0.3225 [4 per cell]  3 Al 2.56-2.67

---

Which value of formation energy from the elements does entry 1 give? -0.44 eV per atom

---

Number 1 is which compound? Dy5Al2Ge4

---

Please write out number 1 again, unchanged.
Material: Dy5Al2Ge4
Method: DFT, GGA-PBE
State: optimized geometry

## Properties
Formation energy from the elements (eV per atom): -0.44
Fermi-level density of states (states/eV/f.u.): 7.701

abc: 18.9623 4.1562 7.2704
angles: 90.00 106.69 90.00
With the nearest neighbours (Å) after each atom.
Space group C2/m (No. 12)
Inequivalent atoms, fractional coordinates:
Dy1 0.0000 0.0000 0.0000 [2 per cell]  4 Ge 2.98
Dy2 0.1563 0.5000 0.4219 [4 per cell]  4 Ge 2.92-3.00, 2 Al 3.22
Dy3 0.1632 0.5000 0.9383 [4 per cell]  4 Ge 2.92-2.97, 2 Al 3.17
Al1 0.0738 0.0000 0.6283 [4 per cell]  3 Ge 2.53-2.58
Ge1 0.0086 0.5000 0.7131 [4 per cell]  2 Al 2.58
Ge2 0.2127 0.0000 0.7118 [4 per cell]  1 Al 2.53

---

Copy entry 1 word for word.
Material: Dy5Al2Ge4
Method: DFT, GGA-PBE
State: optimized geometry

## Properties
Formation energy from the elements (eV per atom): -0.44
Fermi-level density of states (states/eV/f.u.): 7.701

abc: 18.9623 4.1562 7.2704
angles: 90.00 106.69 90.00
With the nearest neighbours (Å) after each atom.
Space group C2/m (No. 12)
Inequivalent atoms, fractional coordinates:
Dy1 0.0000 0.0000 0.0000 [2 per cell]  4 Ge 2.98
Dy2 0.1563 0.5000 0.4219 [4 per cell]  4 Ge 2.92-3.00, 2 Al 3.22
Dy3 0.1632 0.5000 0.9383 [4 per cell]  4 Ge 2.92-2.97, 2 Al 3.17
Al1 0.0738 0.0000 0.6283 [4 per cell]  3 Ge 2.53-2.58
Ge1 0.0086 0.5000 0.7131 [4 per cell]  2 Al 2.58
Ge2 0.2127 0.0000 0.7118 [4 per cell]  1 Al 2.53